1.
# Ce6ZnIr2, optimized geometry, DFT GGA-PBE
data_Ce6ZnIr2
_symmetry_space_group_name_H-M 'P 1'
_symmetry_Int_Tables_number 1
_symmetry_space_group_name_Hall 'P 1'
_cell_length_a 5.629
_cell_length_b 5.629
_cell_length_c 8.822
_cell_angle_alpha 96.16
_cell_angle_beta 96.16
_cell_angle_gamma 50.29
loop_
_atom_site_label
_atom_site_type_symbol
_atom_site_fract_x
_atom_site_fract_y
_atom_site_fract_z
Ce1 Ce 0.058 0.058 0.350
Ce2 Ce 0.303 0.303 0.920
Ce3 Ce 0.393 0.393 0.324
Ce4 Ce 0.607 0.607 0.676
Ce5 Ce 0.697 0.697 0.080
Ce6 Ce 0.942 0.942 0.650
Zn1 Zn 0.000 0.000 0.000
Ir1 Ir 0.268 0.268 0.617
Ir2 Ir 0.732 0.732 0.383
# Crystal system: monoclinic
# Calculated formation energy, meV/atom: -424
# DOS at the Fermi energy, states/eV/atom: 2.107
# E above lowest polymorph, eV per formula unit: 0.00

---

2.
# BaNa2PbBr6, optimized geometry, DFT GGA-PBE
data_BaNa2PbBr6
_symmetry_space_group_name_H-M 'P 1'
_symmetry_Int_Tables_number 1
_symmetry_space_group_name_Hall 'P 1'
_cell_length_a 8.237
_cell_length_b 8.237
_cell_length_c 8.237
_cell_angle_alpha 56.34
_cell_angle_beta 56.34
_cell_angle_gamma 56.34
loop_
_atom_site_label
_atom_site_type_symbol
_atom_site_fract_x
_atom_site_fract_y
_atom_site_fract_z
Ba1 Ba 0.000 0.000 0.000
Na1 Na 0.292 0.292 0.292
Na2 Na 0.799 0.799 0.799
Pb1 Pb 0.492 0.492 0.492
Br1 Br 0.084 0.667 0.431
Br2 Br 0.191 0.577 0.905
Br3 Br 0.431 0.084 0.667
Br4 Br 0.577 0.905 0.191
Br5 Br 0.667 0.431 0.084
Br6 Br 0.905 0.191 0.577
# Formation energy from raw total energies, eV per atom: -1.54
# Crystal system: trigonal
# DOS at the Fermi energy, states/eV/atom: 0.000

---

3.
# HfTiC2, optimized geometry, DFT GGA-PBE
data_HfTiC2
_symmetry_space_group_name_H-M 'P 1'
_symmetry_Int_Tables_number 1
_symmetry_space_group_name_Hall 'P 1'
_cell_length_a 3.164
_cell_length_b 3.164
_cell_length_c 5.585
_cell_angle_alpha 90.00
_cell_angle_beta 90.00
_cell_angle_gamma 120.00
loop_
_atom_site_label
_atom_site_type_symbol
_atom_site_fract_x
_atom_site_fract_y
_atom_site_fract_z
Hf1 Hf 0.000 0.000 0.000
Ti1 Ti 0.000 0.000 0.500
C1 C 0.333 0.667 0.739
C2 C 0.667 0.333 0.261
# Crystal system: trigonal
# Calculated formation energy, meV/atom: -339
# DOS at the Fermi energy, states/eV/atom: 0.355
# E above lowest polymorph, eV per formula unit: 1.96

---

4.
# La3TbTh2Se6, optimized geometry, DFT GGA-PBE
data_La3TbTh2Se6
_symmetry_space_group_name_H-M 'P 1'
_symmetry_Int_Tables_number 1
_symmetry_space_group_name_Hall 'P 1'
_cell_length_a 7.329
_cell_length_b 7.329
_cell_length_c 7.347
_cell_angle_alpha 99.56
_cell_angle_beta 99.56
_cell_angle_gamma 119.73
loop_
_atom_site_label
_atom_site_type_symbol
_atom_site_fract_x
_atom_site_fract_y
_atom_site_fract_z
La1 La 0.000 0.000 0.000
La2 La 0.331 0.669 0.000
La3 La 0.669 0.331 0.000
Tb1 Tb 0.500 0.500 0.500
Th1 Th 0.166 0.834 0.500
Th2 Th 0.834 0.166 0.500
Se1 Se 0.093 0.420 0.260
Se2 Se 0.254 0.254 0.742
Se3 Se 0.420 0.093 0.260
Se4 Se 0.580 0.907 0.740
Se5 Se 0.746 0.746 0.258
Se6 Se 0.907 0.580 0.740
# Formation energy from raw total energies, eV per atom: -1.80
# Crystal system: monoclinic
# DOS at the Fermi energy, states/eV/atom: 0.639

---

5.
# Sc2ZnSnPd4, optimized geometry, DFT GGA-PBE
data_Sc2ZnSnPd4
_symmetry_space_group_name_H-M 'P 1'
_symmetry_Int_Tables_number 1
_symmetry_space_group_name_Hall 'P 1'
_cell_length_a 7.968
_cell_length_b 7.968
_cell_length_c 7.968
_cell_angle_alpha 33.33
_cell_angle_beta 33.33
_cell_angle_gamma 33.33
loop_
_atom_site_label
_atom_site_type_symbol
_atom_site_fract_x
_atom_site_fract_y
_atom_site_fract_z
Sc1 Sc 0.248 0.248 0.248
Sc2 Sc 0.752 0.752 0.752
Zn1 Zn 0.500 0.500 0.500
Sn1 Sn 0.000 0.000 0.000
Pd1 Pd 0.127 0.127 0.127
Pd2 Pd 0.378 0.378 0.378
Pd3 Pd 0.622 0.622 0.622
Pd4 Pd 0.873 0.873 0.873
# Crystal system: trigonal
# Calculated formation energy, meV/atom: -825
# DOS at the Fermi energy, states/eV/atom: 0.451

---

6.
# AcErGa2Pd2, optimized geometry, DFT GGA-PBE
data_AcErGa2Pd2
_symmetry_space_group_name_H-M 'P 1'
_symmetry_Int_Tables_number 1
_symmetry_space_group_name_Hall 'P 1'
_cell_length_a 4.574
_cell_length_b 4.574
_cell_length_c 7.327
_cell_angle_alpha 90.00
_cell_angle_beta 90.00
_cell_angle_gamma 120.00
loop_
_atom_site_label
_atom_site_type_symbol
_atom_site_fract_x
_atom_site_fract_y
_atom_site_fract_z
Ac1 Ac 0.000 0.000 0.000
Er1 Er 0.000 0.000 0.500
Ga1 Ga 0.333 0.667 0.298
Ga2 Ga 0.667 0.333 0.702
Pd1 Pd 0.333 0.667 0.705
Pd2 Pd 0.667 0.333 0.295
# Crystal system: trigonal
# Calculated formation energy, meV/atom: -837
# DOS at the Fermi energy, states/eV/atom: 0.657

---

7.
# NaAlTe2I, optimized geometry, DFT GGA-PBE
data_NaAlTe2I
_symmetry_space_group_name_H-M 'P 1'
_symmetry_Int_Tables_number 1
_symmetry_space_group_name_Hall 'P 1'
_cell_length_a 5.566
_cell_length_b 5.566
_cell_length_c 6.078
_cell_angle_alpha 90.00
_cell_angle_beta 90.00
_cell_angle_gamma 90.00
loop_
_atom_site_label
_atom_site_type_symbol
_atom_site_fract_x
_atom_site_fract_y
_atom_site_fract_z
Na1 Na 0.000 0.000 0.000
Al1 Al 0.500 0.500 0.500
Te1 Te 0.000 0.500 0.000
Te2 Te 0.500 0.000 0.000
I1 I 0.000 0.000 0.500
# Formation energy from raw total energies, eV per atom: 0.40
# Crystal system: tetragonal
# DOS at the Fermi energy, states/eV/atom: 1.452
# E above lowest polymorph, eV per formula unit: 3.34

---

8.
# YZr2Mo, optimized geometry, DFT GGA-PBE
data_YZr2Mo
_symmetry_space_group_name_H-M 'P 1'
_symmetry_Int_Tables_number 1
_symmetry_space_group_name_Hall 'P 1'
_cell_length_a 3.070
_cell_length_b 4.761
_cell_length_c 6.157
_cell_angle_alpha 90.00
_cell_angle_beta 90.00
_cell_angle_gamma 90.00
loop_
_atom_site_label
_atom_site_type_symbol
_atom_site_fract_x
_atom_site_fract_y
_atom_site_fract_z
Y1 Y 0.000 0.000 0.000
Zr1 Zr 0.000 0.000 0.525
Zr2 Zr 0.500 0.500 0.286
Mo1 Mo 0.500 0.500 0.736
# Crystal system: orthorhombic
# Calculated formation energy, meV/atom: 320
# DOS at the Fermi energy, states/eV/atom: 1.553
# E above lowest polymorph, eV per formula unit: 1.00